(1)
First-principles (PBE) data for SbMo2Se after structural relaxation, as listed in Alexandria.

```
SbMo2Se
1.0
3.223 0.000 0.000
0.000 3.224 0.000
0.000 0.000 6.562
Sb Mo Se
1 2 1
Cartesian
1.612 1.612 1.640
0.000 0.000 6.444
0.000 0.000 3.399
1.612 1.612 4.921
```

Properties
* E_form (uncorrected): 0.208 eV/atom
* energy relative to the lowest polymorph listed for this composition: 182 meV per atom
* total energy: -28.4 eV/cell
* N(E_F): 1.065 states/eV per atom

(2)
First-principles (PBE) data for SbMo3Se after structural relaxation, as listed in Alexandria.

```
SbMo3Se
1.0
-0.434 -2.581 -3.850
4.426 0.917 -1.114
1.376 -3.764 2.369
Mo Se Sb
3 1 1
Cartesian
2.213 0.459 -0.557
-0.217 -1.291 -1.925
0.688 -1.882 1.184
0.000 0.000 0.000
2.684 -2.714 -1.298
```

Properties
* E_form (uncorrected): 1.034 eV/atom
* energy relative to the lowest polymorph listed for this composition: 0 meV per atom
* total energy: -34.9 eV/cell
* N(E_F): 1.473 states/eV per atom

(3)
First-principles (PBE) data for SbMo2Se after structural relaxation, as listed in Alexandria.

```
SbMo2Se
1.0
4.981 0.004 0.000
1.374 4.787 0.000
-3.177 -2.395 2.995
Mo Se Sb
2 1 1
Cartesian
0.687 2.394 1.498
0.000 0.000 0.000
2.490 0.002 1.498
3.177 2.395 0.000
```

Properties
* E_form (uncorrected): 0.459 eV/atom
* energy relative to the lowest polymorph listed for this composition: 433 meV per atom
* total energy: -27.4 eV/cell
* N(E_F): 0.769 states/eV per atom

(4)
First-principles (PBE) data for Sb3MoSe after structural relaxation, as listed in Alexandria.

```
Sb3MoSe
1.0
5.318 0.000 0.000
0.000 5.318 0.000
0.000 0.000 5.318
Sb Mo Se
3 1 1
Cartesian
2.659 0.000 0.000
0.000 2.659 0.000
0.000 0.000 2.659
2.659 2.659 2.659
0.000 0.000 0.000
```

Properties
* E_form (uncorrected): 1.209 eV/atom
* energy relative to the lowest polymorph listed for this composition: 834 meV per atom
* total energy: -20.6 eV/cell
* N(E_F): 0.377 states/eV per atom